(1)
Compound: MgMnHg
Source: the Alexandria database
Functional: PBE
Structure: relaxed

a b c (Å): 6.456 6.456 6.456
angles (deg): 90.00 90.00 90.00
Space group F-43m (No. 216)
Inequivalent atoms, fractional coordinates:
Mg  0.000  0.000  0.000 [4 per cell]
Mn  0.000  0.000  0.500 [4 per cell]
Hg  0.250  0.250  0.750 [4 per cell]

(2)
Compound: Mg3MnHg
Source: the Alexandria database
Functional: PBE
Structure: relaxed

ΔE to the lowest computed polymorph in meV/atom: 237

a b c (Å): 4.963 4.963 4.963
angles (deg): 90.00 90.00 90.00
Space group Pm-3m (No. 221)
Inequivalent atoms, fractional coordinates:
Mg  0.000  0.000  0.500 [3 per cell]
Mn  0.000  0.000  0.000 [1 per cell]
Hg  0.500  0.500  0.500 [1 per cell]

(3)
Compound: MgMn3Hg
Source: the Alexandria database
Functional: PBE
Structure: relaxed

ΔE to the lowest computed polymorph in meV/atom: 0

a b c (Å): 5.040 5.040 5.040
angles (deg): 90.00 90.00 90.00
Space group Pm-3m (No. 221)
Inequivalent atoms, fractional coordinates:
Mg  0.000  0.000  0.000 [1 per cell]
Mn  0.000  0.500  0.500 [3 per cell]
Hg  0.500  0.500  0.500 [1 per cell]

(4)
Compound: Mg2MnHg
Source: the Alexandria database
Functional: PBE
Structure: relaxed

ΔE to the lowest computed polymorph in meV/atom: 96

a b c (Å): 9.795 3.192 5.162
angles (deg): 90.00 101.94 90.00
Space group C2/m (No. 12)
Inequivalent atoms, fractional coordinates:
Mg  0.248  0.000  0.243 [4 per cell]
Mn  0.000  0.500  0.000 [2 per cell]
Hg  0.000  0.000  0.500 [2 per cell]

no.,energy of formation (eV/atom),total magnetic moment (μB per cell)
1,0.304,15.389
2,0.785,0.150
3,1.083,12.495
4,0.147,7.702